# 1
{
  "formula": "TbHoCo2Si2C",
  "functional": "PBE-GGA",
  "state": "optimized geometry",
  "lattice": [[5.2792, -1.9361, 0.0000], [5.2792, 1.9361, 0.0000], [-4.3234, 0.0000, 5.2331]],
  "species": ["C", "Co", "Co", "Ho", "Si", "Si", "Tb"],
  "fractional_positions": [[0.9999, 0.9999, 0.9995], [0.1990, 0.1990, 0.0880], [0.8008, 0.8008, 0.9117], [0.4366, 0.4366, 0.7035], [0.8442, 0.8442, 0.2970], [0.1559, 0.1559, 0.7034], [0.5636, 0.5636, 0.2969]],
  "e_tot_ev_per_cell": -48.3,
  "spacegroup": "Cm (8)"
}



# 2
{
  "formula": "LiFe3Pb5",
  "functional": "PBE-GGA",
  "state": "optimized geometry",
  "lattice": [[-4.6352, 2.4324, 1.3824], [1.3641, -4.7194, 2.2758], [4.0065, 4.1310, 6.1651]],
  "species": ["Fe", "Fe", "Fe", "Li", "Pb", "Pb", "Pb", "Pb", "Pb"],
  "fractional_positions": [[0.5000, 0.0000, 0.5000], [0.0000, 0.5000, 0.5000], [0.5000, 0.5000, 0.5000], [0.0000, 0.0000, 0.0000], [0.6667, 0.3333, 0.2088], [0.3333, 0.6667, 0.2088], [0.0000, 0.0000, 0.5000], [0.6667, 0.3333, 0.7912], [0.3333, 0.6667, 0.7912]],
  "e_tot_ev_per_cell": -43.4,
  "spacegroup": "P6/mmm (191)"
}



# 3
{
  "formula": "BaTbPd",
  "functional": "PBE-GGA",
  "state": "optimized geometry",
  "lattice": [[-3.2423, -3.0754, -2.2789], [-4.2559, 1.8251, -1.9289], [-0.6028, 0.2306, -4.9747]],
  "species": ["Ba", "Pd", "Tb"],
  "fractional_positions": [[0.0000, 0.0000, 0.0000], [0.2500, 0.2500, 0.2500], [0.7500, 0.7500, 0.7500]],
  "e_tot_ev_per_cell": -10.3,
  "spacegroup": "F-43m (216)"
}



# 4
{
  "formula": "DyCdInTe3",
  "functional": "PBE-GGA",
  "state": "optimized geometry",
  "lattice": [[8.6837, 0.0000, 0.0000], [0.0000, 4.6653, 0.0000], [0.0000, 0.0000, 18.6651]],
  "species": ["Cd", "Cd", "Cd", "Cd", "Dy", "Dy", "Dy", "Dy", "In", "In", "In", "In", "Te", "Te", "Te", "Te", "Te", "Te", "Te", "Te", "Te", "Te", "Te", "Te"],
  "fractional_positions": [[0.5785, 0.2500, 0.1598], [0.0785, 0.2500, 0.3402], [0.9215, 0.7500, 0.6598], [0.4215, 0.7500, 0.8402], [0.2322, 0.2500, 0.0397], [0.7322, 0.2500, 0.4603], [0.2678, 0.7500, 0.5397], [0.7678, 0.7500, 0.9603], [0.9421, 0.7500, 0.1976], [0.4421, 0.7500, 0.3024], [0.5579, 0.2500, 0.6976], [0.0579, 0.2500, 0.8024], [0.8732, 0.2500, 0.0604], [0.4938, 0.7500, 0.0758], [0.2305, 0.2500, 0.2058], [0.7305, 0.2500, 0.2942], [0.9938, 0.7500, 0.4242], [0.3732, 0.2500, 0.4396], [0.6268, 0.7500, 0.5604], [0.0062, 0.2500, 0.5758], [0.2695, 0.7500, 0.7058], [0.7695, 0.7500, 0.7942], [0.5062, 0.2500, 0.9242], [0.1268, 0.7500, 0.9396]],
  "e_tot_ev_per_cell": -86.9,
  "spacegroup": "Pnma (62)"
}



# 5
{
  "formula": "Al16Re13",
  "functional": "PBE-GGA",
  "state": "optimized geometry",
  "lattice": [[7.6865, -2.2100, -1.8712], [-0.2396, 2.8113, 7.7141], [-4.9663, -6.5051, -0.6989]],
  "species": ["Al", "Al", "Al", "Al", "Al", "Al", "Al", "Al", "Al", "Al", "Al", "Al", "Al", "Al", "Al", "Al", "Re", "Re", "Re", "Re", "Re", "Re", "Re", "Re", "Re", "Re", "Re", "Re", "Re"],
  "fractional_positions": [[0.6569, 0.0000, 0.0000], [0.3815, 0.1908, 0.0000], [0.1908, 0.3815, 0.0000], [0.0000, 0.6569, 0.0000], [0.8092, 0.8092, 0.1907], [0.3815, 0.0000, 0.1908], [0.0000, 0.3815, 0.1908], [0.3431, 0.3431, 0.3431], [0.1908, 0.0000, 0.3815], [0.0000, 0.1908, 0.3815], [0.8093, 0.6185, 0.6185], [0.6185, 0.8093, 0.6185], [0.0000, 0.0000, 0.6569], [0.8092, 0.1907, 0.8092], [0.1907, 0.8092, 0.8092], [0.6185, 0.6185, 0.8093], [0.0000, 0.0000, 0.0000], [0.6875, 0.4185, 0.0000], [0.4185, 0.6875, 0.0000], [0.5815, 0.5815, 0.2690], [0.7310, 0.3125, 0.3125], [0.3125, 0.7310, 0.3125], [0.6875, 0.0000, 0.4185], [0.0000, 0.6875, 0.4185], [0.5815, 0.2690, 0.5815], [0.2690, 0.5815, 0.5815], [0.4185, 0.0000, 0.6875], [0.0000, 0.4185, 0.6875], [0.3125, 0.3125, 0.7310]],
  "e_tot_ev_per_cell": -221.3,
  "spacegroup": "I-43m (217)"
}



# 6
{
  "formula": "ErTm2Mg3Ga3",
  "functional": "PBE-GGA",
  "state": "optimized geometry",
  "lattice": [[-1.0105, -4.2634, 0.4181], [6.2448, -1.1455, 3.4123], [-5.8968, 1.7655, 3.7503]],
  "species": ["Er", "Ga", "Ga", "Ga", "Mg", "Mg", "Mg", "Tm", "Tm"],
  "fractional_positions": [[0.0000, 0.4283, 0.4283], [0.5000, 0.6673, 0.3330], [0.5000, 0.3330, 0.6673], [0.0000, 0.9990, 0.9990], [0.5000, 0.2438, 0.0000], [0.5000, 0.0000, 0.2438], [0.5000, 0.7561, 0.7561], [0.0000, 0.5723, 0.0002], [0.0000, 0.0002, 0.5723]],
  "e_tot_ev_per_cell": -31.6,
  "spacegroup": "Amm2 (38)"
}



# 7
{
  "formula": "Ta4IrAu3",
  "functional": "PBE-GGA",
  "state": "optimized geometry",
  "lattice": [[-1.6049, -3.9086, 3.3609], [3.8778, -3.2346, -1.9100], [3.3963, 1.8462, 3.7689]],
  "species": ["Au", "Au", "Au", "Ir", "Ta", "Ta", "Ta", "Ta"],
  "fractional_positions": [[0.5000, 0.5000, 0.0000], [0.5000, 0.0000, 0.5000], [0.0000, 0.5000, 0.5000], [0.0000, 0.0000, 0.0000], [0.5000, 0.0000, 0.0000], [0.0000, 0.5000, 0.0000], [0.0000, 0.0000, 0.5000], [0.5000, 0.5000, 0.5000]],
  "formation_energy_mev_per_atom": 520,
  "spacegroup": "Pm-3m (221)"
}



# 8
{
  "formula": "PaSnPd",
  "functional": "PBE-GGA",
  "state": "optimized geometry",
  "lattice": [[-4.3996, -0.6981, 1.5450], [-3.6540, 0.6911, -2.8985], [-2.4934, -3.6812, -1.5692]],
  "species": ["Pa", "Pd", "Sn"],
  "fractional_positions": [[0.2500, 0.2500, 0.2500], [0.0000, 0.0000, 0.0000], [0.7500, 0.7500, 0.7500]],
  "e_tot_ev_per_cell": -20.3,
  "spacegroup": "F-43m (216)"
}



# 9
{
  "formula": "NbAlN2O",
  "functional": "PBE-GGA",
  "state": "optimized geometry",
  "lattice": [[2.6669, -2.6699, 0.0000], [2.6669, 2.6699, 0.0000], [-2.4716, 0.0000, 4.9688]],
  "species": ["Al", "N", "N", "Nb", "O"],
  "fractional_positions": [[0.3680, 0.3680, 0.7276], [0.9201, 0.4247, 0.8465], [0.4247, 0.9201, 0.8465], [0.0030, 0.0030, 0.0027], [0.1908, 0.1908, 0.3736]],
  "e_tot_ev_per_cell": -42.6,
  "spacegroup": "Cm (8)"
}



# 10
{
  "formula": "AcDyMg",
  "functional": "PBE-GGA",
  "state": "optimized geometry",
  "lattice": [[4.6585, -1.1417, 2.6188], [1.9338, 3.4539, 3.7675], [-0.1052, -1.3836, 5.2857]],
  "species": ["Ac", "Dy", "Mg"],
  "fractional_positions": [[0.5000, 0.5000, 0.5000], [0.0000, 0.0000, 0.0000], [0.2500, 0.2500, 0.2500]],
  "e_tot_ev_per_cell": -9.1,
  "spacegroup": "F-43m (216)"
}



# 11
{
  "formula": "POsPbO",
  "functional": "PBE-GGA",
  "state": "optimized geometry",
  "lattice": [[3.4953, 0.0000, 0.0000], [0.0000, 7.9629, 0.0000], [0.0000, 0.0000, 5.4082]],
  "species": ["O", "O", "Os", "Os", "P", "P", "Pb", "Pb"],
  "fractional_positions": [[0.0000, 0.8084, 0.3625], [0.0000, 0.1916, 0.8625], [0.0000, 0.9665, 0.0677], [0.0000, 0.0335, 0.5677], [0.5000, 0.1424, 0.3506], [0.5000, 0.8576, 0.8506], [0.5000, 0.6135, 0.4731], [0.5000, 0.3865, 0.9731]],
  "e_tot_ev_per_cell": -52.6,
  "spacegroup": "Pmc2_1 (26)"
}



# 12
{
  "formula": "K2NiSe2S",
  "functional": "PBE-GGA",
  "state": "optimized geometry",
  "lattice": [[-3.0875, -5.8126, 2.1746], [-1.1188, -5.4976, -4.0710], [8.2730, -0.1423, 2.6006]],
  "species": ["K", "K", "K", "K", "Ni", "Ni", "S", "S", "Se", "Se", "Se", "Se"],
  "fractional_positions": [[0.9089, 0.9089, 0.1423], [0.7024, 0.7024, 0.3521], [0.2976, 0.2976, 0.6479], [0.0911, 0.0911, 0.8577], [0.4228, 0.4228, 0.3422], [0.5772, 0.5772, 0.6578], [0.7543, 0.2458, 0.5000], [0.2458, 0.7543, 0.5000], [0.4186, 0.4186, 0.0599], [0.2216, 0.2216, 0.2508], [0.7784, 0.7784, 0.7492], [0.5814, 0.5814, 0.9401]],
  "e_tot_ev_per_cell": -45.5,
  "spacegroup": "C2/m (12)"
}



- Which formula does entry 10 have?
  AcDyMg